# KNa2SbF6

A relaxed KNa2SbF6 crystal (PBE-GGA, Alexandria). Values from VASP.

VASP energy ... -43.00 eV for the cell shown
ΔE_f (raw) ... -2.392 eV/atom
Offset from the most stable computed form ... 2.45 eV per formula unit
Total moment ... 0.000 Bohr magnetons per cell

Cell and atoms, written as Quantum ESPRESSO input:
```
&SYSTEM
  ibrav = 0, nat = 10, ntyp = 4
/
ATOMIC_SPECIES
Na 22.99 Na.upf
F 19.00 F.upf
K 39.10 K.upf
Sb 121.76 Sb.upf
ATOMIC_POSITIONS crystal
Na 0.750 0.750 0.750
Na 0.250 0.250 0.250
F 0.767 0.233 0.233
F 0.233 0.767 0.767
F 0.767 0.233 0.767
F 0.233 0.233 0.767
F 0.233 0.767 0.233
F 0.767 0.767 0.233
K 0.500 0.500 0.500
Sb 0.000 0.000 0.000
CELL_PARAMETERS angstrom
-3.667 -5.433 -0.833
-6.224 -0.157 2.214
-5.032 0.035 -4.282
```

***

# CaCr2Re

A relaxed CaCr2Re crystal (PBE-GGA, Alexandria). Values from VASP.

VASP energy ... -30.52 eV for the cell shown
Formation energy from the elements ... 0.7930 eV per atom
Offset from the most stable computed form ... 1.24 eV per formula unit
Total moment ... 2.359 Bohr magnetons per cell

Cell and atoms, written as Quantum ESPRESSO input:
```
&SYSTEM
  ibrav = 0, nat = 4, ntyp = 3
/
ATOMIC_SPECIES
Cr 52.00 Cr.upf
Re 186.21 Re.upf
Ca 40.08 Ca.upf
ATOMIC_POSITIONS crystal
Cr 0.000 0.000 0.000
Cr 0.250 0.250 0.250
Re 0.750 0.750 0.750
Ca 0.500 0.500 0.500
CELL_PARAMETERS angstrom
-1.172 0.683 -4.326
0.943 -3.144 -3.127
-3.349 -2.431 -1.852
```

***

# Cd2NiTe

A relaxed Cd2NiTe crystal (PBE-GGA, Alexandria). Values from VASP.

VASP energy ... -10.69 eV for the cell shown
ΔE_f (raw) ... 0.015 eV/atom
Total moment ... 0.000 Bohr magnetons per cell

Cell and atoms, written as Quantum ESPRESSO input:
```
&SYSTEM
  ibrav = 0, nat = 4, ntyp = 3
/
ATOMIC_SPECIES
Cd 112.41 Cd.upf
Te 127.60 Te.upf
Ni 58.69 Ni.upf
ATOMIC_POSITIONS crystal
Cd 0.996 0.996 0.996
Cd 0.233 0.233 0.233
Te 0.781 0.781 0.781
Ni 0.490 0.490 0.490
CELL_PARAMETERS angstrom
-1.887 -3.594 5.585
1.946 -4.687 4.680
1.236 -1.198 6.686
```

***

# Sm2Er7Tm3

A relaxed Sm2Er7Tm3 crystal (PBE-GGA, Alexandria). Values from VASP.

VASP energy ... -53.83 eV for the cell shown
Formation energy from the elements ... 0.0806 eV per atom
Offset from the most stable computed form ... 0.00 eV per formula unit
Total moment ... 0.000 Bohr magnetons per cell

Cell and atoms, written as Quantum ESPRESSO input:
```
&SYSTEM
  ibrav = 0, nat = 12, ntyp = 3
/
ATOMIC_SPECIES
Er 167.26 Er.upf
Tm 168.93 Tm.upf
Sm 150.36 Sm.upf
ATOMIC_POSITIONS crystal
Er 0.500 0.757 0.499
Er 0.500 0.940 0.833
Er 0.000 0.562 0.163
Er 0.500 0.243 0.501
Er 0.500 0.060 0.167
Er 0.000 0.000 0.000
Er 0.000 0.438 0.837
Tm 0.000 0.893 0.657
Tm 0.500 0.500 0.000
Tm 0.000 0.107 0.343
Sm 0.500 0.612 0.326
Sm 0.500 0.388 0.674
CELL_PARAMETERS angstrom
-1.761 -0.354 -2.985
-4.317 -3.447 2.956
-11.923 11.790 5.639
```

***

# Li2FePb2

A relaxed Li2FePb2 crystal (PBE-GGA, Alexandria). Values from VASP.

VASP energy ... -37.68 eV for the cell shown
Formation energy from the elements ... 0.1735 eV per atom
Offset from the most stable computed form ... 0.00 eV per formula unit
Total moment ... 5.308 Bohr magnetons per cell

Cell and atoms, written as Quantum ESPRESSO input:
```
&SYSTEM
  ibrav = 0, nat = 10, ntyp = 3
/
ATOMIC_SPECIES
Pb 207.20 Pb.upf
Li 6.94 Li.upf
Fe 55.84 Fe.upf
ATOMIC_POSITIONS crystal
Pb 0.657 0.157 0.000
Pb 0.157 0.343 0.000
Pb 0.343 0.843 0.000
Pb 0.843 0.657 0.000
Li 0.849 0.349 0.500
Li 0.151 0.651 0.500
Li 0.349 0.151 0.500
Li 0.651 0.849 0.500
Fe 0.500 0.500 0.000
Fe 0.000 0.000 0.000
CELL_PARAMETERS angstrom
7.174 0.000 0.000
0.000 7.174 0.000
0.000 0.000 4.210
```

***

# Dy6InPt

A relaxed Dy6InPt crystal (PBE-GGA, Alexandria). Values from VASP.

VASP energy ... -37.80 eV for the cell shown
Formation energy from the elements ... -0.1761 eV per atom
Total moment ... 0.000 Bohr magnetons per cell

Cell and atoms, written as Quantum ESPRESSO input:
```
&SYSTEM
  ibrav = 0, nat = 8, ntyp = 3
/
ATOMIC_SPECIES
Dy 162.50 Dy.upf
Pt 195.08 Pt.upf
In 114.82 In.upf
ATOMIC_POSITIONS crystal
Dy 0.570 0.220 0.245
Dy 0.221 0.966 0.245
Dy 0.965 0.571 0.244
Dy 0.430 0.780 0.755
Dy 0.035 0.429 0.756
Dy 0.779 0.034 0.755
Pt 0.000 0.000 0.000
In 0.500 0.500 0.500
CELL_PARAMETERS angstrom
7.082 0.014 -0.003
3.538 6.155 0.006
3.518 2.045 5.999
```

***

# BeIn2IrOs

A relaxed BeIn2IrOs crystal (PBE-GGA, Alexandria). Values from VASP.

VASP energy ... -23.04 eV for the cell shown
Formation energy from the elements ... 1.2500 eV per atom
Total moment ... 0.000 Bohr magnetons per cell

Cell and atoms, written as Quantum ESPRESSO input:
```
&SYSTEM
  ibrav = 0, nat = 5, ntyp = 4
/
ATOMIC_SPECIES
Be 9.01 Be.upf
Os 190.23 Os.upf
In 114.82 In.upf
Ir 192.22 Ir.upf
ATOMIC_POSITIONS crystal
Be 0.500 0.500 0.500
Os 0.000 0.000 0.000
In 0.500 0.000 0.000
In 0.000 0.000 0.500
Ir 0.000 0.500 0.000
CELL_PARAMETERS angstrom
-0.381 3.194 -4.044
2.297 -3.159 -2.711
-4.508 -2.171 -1.290
```

***

# Pr2Mg3Co2

A relaxed Pr2Mg3Co2 crystal (PBE-GGA, Alexandria). Values from VASP.

VASP energy ... -28.95 eV for the cell shown
Formation energy from the elements ... -0.0564 eV per atom
Total moment ... 0.978 Bohr magnetons per cell

Cell and atoms, written as Quantum ESPRESSO input:
```
&SYSTEM
  ibrav = 0, nat = 7, ntyp = 3
/
ATOMIC_SPECIES
Pr 140.91 Pr.upf
Co 58.93 Co.upf
Mg 24.30 Mg.upf
ATOMIC_POSITIONS crystal
Pr 0.628 0.256 0.361
Pr 0.372 0.744 0.639
Co 0.929 0.859 0.362
Co 0.071 0.141 0.638
Mg 0.321 0.642 0.143
Mg 0.679 0.358 0.857
Mg 0.000 0.000 0.000
CELL_PARAMETERS angstrom
4.275 0.000 0.000
-2.138 5.205 0.017
0.000 -1.179 7.035
```

***

# Cs2HgTeSe

A relaxed Cs2HgTeSe crystal (PBE-GGA, Alexandria). Values from VASP.

VASP energy ... -11.57 eV for the cell shown
ΔE_f (raw) ... -0.586 eV/atom
Offset from the most stable computed form ... 1.20 eV per formula unit
Total moment ... 0.899 Bohr magnetons per cell

Cell and atoms, written as Quantum ESPRESSO input:
```
&SYSTEM
  ibrav = 0, nat = 5, ntyp = 4
/
ATOMIC_SPECIES
Cs 132.91 Cs.upf
Hg 200.59 Hg.upf
Te 127.60 Te.upf
Se 78.96 Se.upf
ATOMIC_POSITIONS crystal
Cs 0.000 0.500 0.000
Cs 0.500 0.000 0.000
Hg 0.000 0.000 0.500
Te 0.500 0.500 0.500
Se 0.000 0.000 0.000
CELL_PARAMETERS angstrom
7.093 0.000 0.000
0.000 7.093 0.000
0.000 0.000 5.239
```

***

# PO2F2

A relaxed PO2F2 crystal (PBE-GGA, Alexandria). Values from VASP.

VASP energy ... -23.58 eV for the cell shown
ΔE_f (raw) ... -0.902 eV/atom
Offset from the most stable computed form ... 0.00 eV per formula unit
Total moment ... 0.875 Bohr magnetons per cell

Cell and atoms, written as Quantum ESPRESSO input:
```
&SYSTEM
  ibrav = 0, nat = 5, ntyp = 3
/
ATOMIC_SPECIES
F 19.00 F.upf
O 16.00 O.upf
P 30.97 P.upf
ATOMIC_POSITIONS crystal
F 0.500 0.500 0.500
F 0.000 0.000 0.500
O 0.500 0.000 0.000
O 0.000 0.500 0.000
P 0.000 0.000 0.000
CELL_PARAMETERS angstrom
-0.487 -3.037 1.080
2.911 0.054 1.465
-1.657 1.418 3.240
```

***

# Ag2TeAs

A relaxed Ag2TeAs crystal (PBE-GGA, Alexandria). Values from VASP.

VASP energy ... -12.81 eV for the cell shown
ΔE_f (raw) ... 0.170 eV/atom
Offset from the most stable computed form ... 0.33 eV per formula unit
Total moment ... 0.000 Bohr magnetons per cell

Cell and atoms, written as Quantum ESPRESSO input:
```
&SYSTEM
  ibrav = 0, nat = 4, ntyp = 3
/
ATOMIC_SPECIES
As 74.92 As.upf
Ag 107.87 Ag.upf
Te 127.60 Te.upf
ATOMIC_POSITIONS crystal
As 0.750 0.750 0.750
Ag 0.493 0.493 0.525
Ag 0.007 0.007 0.975
Te 0.250 0.250 0.250
CELL_PARAMETERS angstrom
-2.484 3.064 1.248
-0.834 0.818 3.969
3.999 5.048 1.741
```

***

# Zn2CrSi

A relaxed Zn2CrSi crystal (PBE-GGA, Alexandria). Values from VASP.

VASP energy ... -16.79 eV for the cell shown
ΔE_f (raw) ... 0.202 eV/atom
Total moment ... 2.499 Bohr magnetons per cell

Cell and atoms, written as Quantum ESPRESSO input:
```
&SYSTEM
  ibrav = 0, nat = 4, ntyp = 3
/
ATOMIC_SPECIES
Zn 65.41 Zn.upf
Cr 52.00 Cr.upf
Si 28.09 Si.upf
ATOMIC_POSITIONS crystal
Zn 0.000 0.000 0.498
Zn 0.000 0.000 0.002
Cr 0.500 0.500 0.250
Si 0.500 0.500 0.750
CELL_PARAMETERS angstrom
-1.816 -2.790 -0.533
2.719 -1.891 0.630
-1.231 -0.136 4.904
```